[1]
Crystalline La2DyEr at its relaxed geometry, computed with PBE.

```
La2DyEr
1.0
3.695 -4.963 0.000
3.695 4.963 0.000
0.000 0.000 3.710
La Dy Er
2 1 1
Direct
0.000 0.500 0.000
0.500 0.000 0.000
0.000 0.000 0.500
0.500 0.500 0.500
```

The uncorrected energy comes out at -4.73 eV per atom. The offset from the most stable computed form comes out at 0.005 eV per atom. Its total magnetic moment is 0.000 μB/atom.

[2]
Crystalline ZnAs2OsSe at its relaxed geometry, computed with PBE.

```
ZnAs2OsSe
1.0
4.624 0.000 0.000
0.000 4.624 0.000
0.000 0.000 4.773
Zn As Os Se
1 2 1 1
Direct
0.000 0.000 0.000
0.000 0.500 0.000
0.500 0.000 0.000
0.500 0.500 0.500
0.000 0.000 0.500
```

The uncorrected energy comes out at -3.59 eV per atom. The offset from the most stable computed form comes out at 0.855 eV per atom. Its total magnetic moment is 0.157 μB/atom.

[3]
Crystalline LiGa6Co at its relaxed geometry, computed with PBE.

```
LiGa6Co
1.0
4.172 2.409 2.370
-4.172 2.409 2.370
0.000 -4.818 2.370
Li Ga Co
1 6 1
Direct
0.000 0.000 0.000
0.203 0.203 0.622
0.203 0.622 0.203
0.378 0.797 0.797
0.622 0.203 0.203
0.797 0.378 0.797
0.797 0.797 0.378
0.500 0.500 0.500
```

The uncorrected energy comes out at -3.52 eV per atom. Its total magnetic moment is 0.000 μB/atom.

[4]
Crystalline ScPCl3 at its relaxed geometry, computed with PBE.

```
ScPCl3
1.0
5.060 0.000 0.000
0.000 5.060 0.000
0.000 0.000 5.060
Sc P Cl
1 1 3
Direct
0.000 0.000 0.000
0.500 0.500 0.500
0.000 0.000 0.500
0.000 0.500 0.000
0.500 0.000 0.000
```

The uncorrected energy comes out at -4.30 eV per atom. The offset from the most stable computed form comes out at 0.110 eV per atom. Its total magnetic moment is 0.600 μB/atom.

[5]
Crystalline Sr2TlTcN at its relaxed geometry, computed with PBE.

```
Sr2TlTcN
1.0
5.491 0.000 0.000
0.000 5.491 0.000
0.000 0.000 3.929
Sr Tl Tc N
2 1 1 1
Direct
0.000 0.500 0.000
0.500 0.000 0.000
0.000 0.000 0.500
0.500 0.500 0.500
0.500 0.500 0.000
```

The uncorrected energy comes out at -5.17 eV per atom. Its total magnetic moment is 0.000 μB/atom.

[6]
Crystalline RbSn3Mo at its relaxed geometry, computed with PBE.

```
RbSn3Mo
1.0
5.800 0.000 0.000
0.000 5.800 0.000
0.000 0.000 5.800
Rb Sn Mo
1 3 1
Direct
0.000 0.000 0.000
0.000 0.000 0.500
0.000 0.500 0.000
0.500 0.000 0.000
0.500 0.500 0.500
```

The uncorrected energy comes out at -2.70 eV per atom. The offset from the most stable computed form comes out at 1.991 eV per atom. Its total magnetic moment is 0.829 μB/atom.

[7]
Crystalline CePm2Sm6Dy at its relaxed geometry, computed with PBE.

```
CePm2Sm6Dy
1.0
5.762 -3.447 0.000
5.762 3.447 0.000
-2.495 0.000 8.586
Ce Pm Sm Dy
1 2 6 1
Direct
0.000 0.000 0.000
0.414 0.414 0.831
0.586 0.586 0.169
0.083 0.560 0.201
0.123 0.123 0.415
0.440 0.917 0.799
0.560 0.083 0.201
0.877 0.877 0.585
0.917 0.440 0.799
0.500 0.500 0.500
```

The uncorrected energy comes out at -4.59 eV per atom. Its total magnetic moment is 0.098 μB/atom.

[8]
Crystalline Ba2NaTl6Ag at its relaxed geometry, computed with PBE.

```
Ba2NaTl6Ag
1.0
0.000 5.614 5.614
5.614 0.000 5.614
5.614 5.614 0.000
Ba Na Tl Ag
2 1 6 1
Direct
0.250 0.250 0.250
0.750 0.750 0.750
0.000 0.000 0.000
0.251 0.251 0.749
0.251 0.749 0.251
0.251 0.749 0.749
0.749 0.251 0.251
0.749 0.251 0.749
0.749 0.749 0.251
0.500 0.500 0.500
```

The uncorrected energy comes out at -2.26 eV per atom. Its total magnetic moment is 0.000 μB/atom.

[9]
Crystalline Sn2BiAs at its relaxed geometry, computed with PBE.

```
Sn2BiAs
1.0
-3.583 3.583 5.651
3.583 -3.583 5.651
3.583 3.583 -5.651
Sn Bi As
4 2 2
Direct
0.092 0.625 0.967
0.375 0.342 0.467
0.658 0.125 0.033
0.875 0.908 0.533
0.250 0.750 0.500
0.500 0.500 0.000
0.000 0.000 0.000
0.750 0.250 0.500
```

The uncorrected energy comes out at -3.98 eV per atom. Its total magnetic moment is 0.000 μB/atom.

[10]
Crystalline ReN2OF at its relaxed geometry, computed with PBE.

```
ReN2OF
1.0
3.922 0.000 0.000
0.000 3.922 0.000
0.000 0.000 3.767
Re N O F
1 2 1 1
Direct
0.000 0.000 0.000
0.000 0.500 0.000
0.500 0.000 0.000
0.000 0.000 0.500
0.500 0.500 0.500
```

The uncorrected energy comes out at -7.03 eV per atom. Its total magnetic moment is 0.435 μB/atom.

[11]
Crystalline DyHo5TmTh2 at its relaxed geometry, computed with PBE.

```
DyHo5TmTh2
1.0
-4.351 4.351 7.730
4.351 -4.351 7.730
4.351 4.351 -7.730
Dy Ho Tm Th
2 10 2 4
Direct
0.250 0.250 0.000
0.750 0.750 0.000
0.000 0.000 0.000
0.071 0.571 0.922
0.149 0.071 0.500
0.351 0.851 0.922
0.429 0.351 0.500
0.500 0.500 0.000
0.571 0.649 0.500
0.649 0.149 0.078
0.851 0.929 0.500
0.929 0.429 0.078
0.250 0.750 0.500
0.750 0.250 0.500
0.120 0.380 0.500
0.380 0.880 0.261
0.620 0.120 0.739
0.880 0.620 0.500
```

The uncorrected energy comes out at -4.85 eV per atom. Its total magnetic moment is 0.000 μB/atom.

[12]
Crystalline BaScSn2 at its relaxed geometry, computed with PBE.

```
BaScSn2
1.0
2.441 1.409 6.468
-2.441 1.409 6.468
0.000 -2.819 6.468
Ba Sc Sn
1 1 2
Direct
0.000 0.000 0.000
0.500 0.500 0.500
0.220 0.220 0.220
0.780 0.780 0.780
```

The uncorrected energy comes out at -4.52 eV per atom. The offset from the most stable computed form comes out at 0.101 eV per atom. Its total magnetic moment is 0.000 μB/atom.

[13]
Crystalline NaHg3Te3 at its relaxed geometry, computed with PBE.

```
NaHg3Te3
1.0
4.299 2.482 7.419
-4.299 2.482 7.419
0.000 -4.964 7.419
Na Hg Te
2 6 6
Direct
0.166 0.166 0.166
0.834 0.834 0.834
0.064 0.719 0.384
0.281 0.616 0.936
0.384 0.064 0.719
0.616 0.936 0.281
0.719 0.384 0.064
0.936 0.281 0.616
0.076 0.422 0.756
0.244 0.924 0.578
0.422 0.756 0.076
0.578 0.244 0.924
0.756 0.076 0.422
0.924 0.578 0.244
```

The uncorrected energy comes out at -1.88 eV per atom. Its total magnetic moment is 0.000 μB/atom.

[14]
Crystalline Pr3HgC at its relaxed geometry, computed with PBE.

```
Pr3HgC
1.0
5.151 0.000 0.000
0.000 5.151 0.000
0.000 0.000 5.151
Pr Hg C
3 1 1
Direct
0.000 0.000 0.500
0.000 0.500 0.000
0.500 0.000 0.000
0.500 0.500 0.500
0.000 0.000 0.000
```

The uncorrected energy comes out at -4.95 eV per atom. The offset from the most stable computed form comes out at 0.069 eV per atom. Its total magnetic moment is 0.000 μB/atom.

[15]
Crystalline YZrPt3 at its relaxed geometry, computed with PBE.

```
YZrPt3
1.0
4.967 0.000 0.000
0.000 4.967 0.000
0.000 0.000 4.967
Y Zr Pt
1 1 3
Direct
0.000 0.000 0.000
0.500 0.500 0.500
0.000 0.500 0.500
0.500 0.000 0.500
0.500 0.500 0.000
```

The uncorrected energy comes out at -6.81 eV per atom. The offset from the most stable computed form comes out at 0.000 eV per atom. Its total magnetic moment is 0.000 μB/atom.

[16]
Crystalline PmNd2Sc3 at its relaxed geometry, computed with PBE.

```
PmNd2Sc3
1.0
8.050 -2.687 0.000
8.050 2.687 0.000
-5.380 0.000 8.368
Pm Nd Sc
2 4 6
Direct
0.135 0.135 0.155
0.865 0.865 0.845
0.199 0.199 0.845
0.469 0.469 0.156
0.531 0.531 0.844
0.801 0.801 0.155
0.051 0.051 0.404
0.280 0.280 0.594
0.385 0.385 0.405
0.615 0.615 0.595
0.720 0.720 0.406
0.949 0.949 0.596
```

The uncorrected energy comes out at -5.46 eV per atom. The offset from the most stable computed form comes out at 0.035 eV per atom. Its total magnetic moment is 0.000 μB/atom.

[17]
Crystalline Mg2InCoSn at its relaxed geometry, computed with PBE.

```
Mg2InCoSn
1.0
4.960 0.000 0.000
0.000 4.960 0.000
0.000 0.000 4.789
Mg In Co Sn
2 1 1 1
Direct
0.000 0.500 0.000
0.500 0.000 0.000
0.000 0.000 0.500
0.500 0.500 0.000
0.500 0.500 0.500
```

The uncorrected energy comes out at -3.36 eV per atom. Its total magnetic moment is 0.000 μB/atom.

[18]
Crystalline SnTeF3 at its relaxed geometry, computed with PBE.

```
SnTeF3
1.0
4.640 0.000 0.000
0.000 4.640 0.000
0.000 0.000 4.640
Sn Te F
1 1 3
Direct
0.000 0.000 0.000
0.500 0.500 0.500
0.000 0.000 0.500
0.000 0.500 0.000
0.500 0.000 0.000
```

The uncorrected energy comes out at -3.91 eV per atom. The offset from the most stable computed form comes out at 0.000 eV per atom. Its total magnetic moment is 0.557 μB/atom.

[19]
Crystalline Th2UP3Ir12 at its relaxed geometry, computed with PBE.

```
Th2UP3Ir12
1.0
4.058 2.343 6.026
-4.058 2.343 6.026
0.000 -4.685 6.026
Th U P Ir
2 1 3 12
Direct
0.102 0.102 0.102
0.898 0.898 0.898
0.500 0.500 0.500
0.000 0.500 0.500
0.500 0.000 0.500
0.500 0.500 0.000
0.111 0.638 0.638
0.155 0.155 0.597
0.155 0.597 0.155
0.362 0.362 0.889
0.362 0.889 0.362
0.403 0.845 0.845
0.597 0.155 0.155
0.638 0.111 0.638
0.638 0.638 0.111
0.845 0.403 0.845
0.845 0.845 0.403
0.889 0.362 0.362
```

The uncorrected energy comes out at -8.44 eV per atom. Its total magnetic moment is 0.000 μB/atom.

[20]
Crystalline KCaH2Cl at its relaxed geometry, computed with PBE.

```
KCaH2Cl
1.0
4.485 0.000 0.000
0.000 4.485 0.000
0.000 0.000 5.511
K Ca H Cl
1 1 2 1
Direct
0.000 0.000 0.000
0.500 0.500 0.500
0.000 0.500 0.500
0.500 0.000 0.500
0.500 0.500 0.000
```

The uncorrected energy comes out at -3.32 eV per atom. Its total magnetic moment is 0.000 μB/atom.

[21]
Crystalline FeCoPt3 at its relaxed geometry, computed with PBE.

```
FeCoPt3
1.0
2.720 0.000 0.000
0.000 8.229 0.000
0.000 0.000 6.937
Fe Co Pt
2 2 6
Direct
0.250 0.250 0.123
0.750 0.750 0.877
0.250 0.250 0.480
0.750 0.750 0.520
0.250 0.527 0.690
0.250 0.750 0.190
0.250 0.973 0.690
0.750 0.027 0.310
0.750 0.250 0.810
0.750 0.473 0.310
```

The uncorrected energy comes out at -6.71 eV per atom. The offset from the most stable computed form comes out at 0.192 eV per atom. Its total magnetic moment is 1.205 μB/atom.

[22]
Crystalline NdTm2Ag2 at its relaxed geometry, computed with PBE.

```
NdTm2Ag2
1.0
5.213 0.000 0.000
0.000 4.878 0.000
-0.810 0.000 10.901
Nd Tm Ag
2 4 4
Direct
0.200 0.250 0.245
0.800 0.750 0.755
0.250 0.750 0.495
0.342 0.250 0.888
0.658 0.750 0.112
0.750 0.250 0.505
0.148 0.750 0.006
0.271 0.250 0.633
0.729 0.750 0.367
0.852 0.250 0.994
```

The uncorrected energy comes out at -4.01 eV per atom. The offset from the most stable computed form comes out at 0.000 eV per atom. Its total magnetic moment is 0.000 μB/atom.

[23]
Crystalline NiI2N2 at its relaxed geometry, computed with PBE.

```
NiI2N2
1.0
7.245 0.000 0.000
0.000 7.294 0.000
0.000 0.000 3.769
Ni I N
2 4 4
Direct
0.000 0.000 0.000
0.500 0.500 0.000
0.204 0.215 0.500
0.296 0.715 0.500
0.704 0.285 0.500
0.796 0.785 0.500
0.186 0.841 0.000
0.314 0.341 0.000
0.686 0.659 0.000
0.814 0.159 0.000
```

The uncorrected energy comes out at -3.93 eV per atom. The offset from the most stable computed form comes out at 1.226 eV per atom. Its total magnetic moment is 0.000 μB/atom.

[24]
Crystalline Y2Mg3In2 at its relaxed geometry, computed with PBE.

```
Y2Mg3In2
1.0
2.357 -11.008 0.000
2.357 11.008 0.000
0.000 0.000 3.516
Y Mg In
2 3 2
Direct
0.156 0.844 0.000
0.844 0.156 0.000
0.000 0.000 0.000
0.429 0.571 0.500
0.571 0.429 0.500
0.290 0.710 0.500
0.710 0.290 0.500
```

The uncorrected energy comes out at -3.54 eV per atom. Its total magnetic moment is 0.000 μB/atom.

[25]
Crystalline Ba2MgHg3 at its relaxed geometry, computed with PBE.

```
Ba2MgHg3
1.0
-2.377 2.429 9.073
2.377 -2.429 9.073
2.377 2.429 -9.073
Ba Mg Hg
2 1 3
Direct
0.000 0.000 0.000
0.760 0.260 0.500
0.592 0.592 0.000
0.167 0.667 0.500
0.335 0.835 0.500
0.432 0.432 0.000
```

The uncorrected energy comes out at -1.46 eV per atom. The offset from the most stable computed form comes out at 0.007 eV per atom. Its total magnetic moment is 0.000 μB/atom.